TmThGa2Pt2: optimized geometry, GGA-PBE.

Values from the calculation:
Energy relative to the elements (eV/atom): -1.053
N(E_F) (states/eV/atom): 0.864

abc: 4.4851 4.4851 7.0512
angles: 90.00 90.00 120.00
Closest atoms and distances in Å follow each position.
Fractional coordinates of all 6 atoms:
1 Tm 0.0000 0.0000 0.0000  6 Ga 3.03, 6 Pt 3.07
2 Th 0.0000 0.0000 0.5000  6 Pt 3.20, 6 Ga 3.25, 2 Tm 3.53
3 Ga 0.3333 0.6667 0.7774  3 Pt 2.59
4 Ga 0.6667 0.3333 0.2226  3 Pt 2.59
5 Pt 0.3333 0.6667 0.2331  3 Ga 2.59
6 Pt 0.6667 0.3333 0.7669  3 Ga 2.59

Rb2ZrNpO6: optimized geometry, GGA-PBE.

Values from the calculation:
E (eV/cell): -80.0

abc: 6.0139 6.0139 6.0139
angles: 60.00 60.00 60.00
Closest atoms and distances in Å follow each position.
Fractional coordinates of all 10 atoms:
1 Rb 0.2500 0.2500 0.2500  12 O 3.01
2 Rb 0.7500 0.7500 0.7500  12 O 3.01
3 Zr 0.0000 0.0000 0.0000  6 O 2.15
4 Np 0.5000 0.5000 0.5000  6 O 2.10
5 O 0.2529 0.2529 0.7471  1 Np 2.10, 1 Zr 2.15
6 O 0.2529 0.7471 0.2529  1 Np 2.10, 1 Zr 2.15
7 O 0.2529 0.7471 0.7471  1 Np 2.10, 1 Zr 2.15
8 O 0.7471 0.2529 0.2529  1 Np 2.10, 1 Zr 2.15
9 O 0.7471 0.2529 0.7471  1 Np 2.10, 1 Zr 2.15
10 O 0.7471 0.7471 0.2529  1 Np 2.10, 1 Zr 2.15

Cs2Cd3Hg2: optimized geometry, GGA-PBE.

Values from the calculation:
Energy above the most stable polymorph in this dataset (meV per atom): 12
Energy relative to the elements (eV/atom): -0.108
N(E_F) (states/eV/atom): 0.527

abc: 7.2871 7.2871 9.0254
angles: 90.06 90.06 33.81
Closest atoms and distances in Å follow each position.
Fractional coordinates of all 7 atoms:
1 Cs 0.1215 0.1215 0.1592  5 Hg 3.82-3.95, 5 Cd 3.87-4.16, 2 Cs 4.24
2 Cs 0.8785 0.8785 0.8408  5 Hg 3.82-3.95, 5 Cd 3.87-4.16, 2 Cs 4.24
3 Cd 0.1867 0.1867 0.5763  2 Hg 3.08, 4 Cd 3.08-3.43
4 Cd 0.5000 0.5000 0.5000  2 Hg 3.01
5 Cd 0.8133 0.8133 0.4237  2 Hg 3.08, 4 Cd 3.08-3.43
6 Hg 0.3932 0.3932 0.2100  3 Cd 3.01-3.08
7 Hg 0.6068 0.6068 0.7900  3 Cd 3.01-3.08

MnNiPt6: optimized geometry, GGA-PBE.

Values from the calculation:
Energy relative to the elements (eV/atom): -0.211
N(E_F) (states/eV/atom): 1.317

abc: 3.9010 3.9010 7.8404
angles: 90.00 90.00 90.00
Closest atoms and distances in Å follow each position.
Fractional coordinates of all 8 atoms:
1 Mn 0.0000 0.0000 0.0000  12 Pt 2.76-2.78
2 Ni 0.0000 0.0000 0.5000  12 Pt 2.76
3 Pt 0.0000 0.5000 0.2518  2 Ni 2.76, 8 Pt 2.76-2.78, 2 Mn 2.78
4 Pt 0.0000 0.5000 0.7482  2 Ni 2.76, 8 Pt 2.76-2.78, 2 Mn 2.78
5 Pt 0.5000 0.0000 0.2518  2 Ni 2.76, 8 Pt 2.76-2.78, 2 Mn 2.78
6 Pt 0.5000 0.0000 0.7482  2 Ni 2.76, 8 Pt 2.76-2.78, 2 Mn 2.78
7 Pt 0.5000 0.5000 0.0000  4 Mn 2.76, 8 Pt 2.78
8 Pt 0.5000 0.5000 0.5000  8 Pt 2.76, 4 Ni 2.76